Record 1
## CaPm2Sm (GGA-PBE)

Data for CaPm2Sm after structural relaxation.

* energy above the lowest structure with this stoichiometry: 0.094 eV/atom
* formation energy: 0.133 eV per atom
* final energy: -3.92 eV/atom
* density of states at the Fermi level: 5.3 states/eV/f.u.

a = 3.6113 Å, b = 3.6113 Å, c = 38.5940 Å
α = 90.00°, β = 90.00°, γ = 120.00°
Space group R-3m (No. 166, hexagonal axes)
Inequivalent atoms, fractional coordinates:
Ca 0.0000 0.0000 0.0000 x3
Pm 0.0000 0.0000 0.0910 x6
Sm 0.0000 0.0000 0.5000 x3

---

Record 2
## CaPmSm (GGA-PBE)

Data for CaPmSm after structural relaxation.

* energy above the lowest structure with this stoichiometry: 0.166 eV/atom
* formation energy: 0.201 eV per atom
* final energy: -3.62 eV/atom
* density of states at the Fermi level: 5.4 states/eV/f.u.

a = 11.8148 Å, b = 3.5078 Å, c = 12.0230 Å
α = 90.00°, β = 117.03°, γ = 90.00°
Space group C2/m (No. 12)
Inequivalent atoms, fractional coordinates:
Ca 0.0864 0.0000 0.4066 x4
Pm 0.0994 0.5000 0.9187 x4
Sm 0.2424 0.5000 0.2360 x4

---

Among the records above, which one has the highest density of states at the Fermi level?
CaPmSm

---

Copy entry 2 word for word.
## CaPmSm (GGA-PBE)

Data for CaPmSm after structural relaxation.

* energy above the lowest structure with this stoichiometry: 0.166 eV/atom
* formation energy: 0.201 eV per atom
* final energy: -3.62 eV/atom
* density of states at the Fermi level: 5.4 states/eV/f.u.

a = 11.8148 Å, b = 3.5078 Å, c = 12.0230 Å
α = 90.00°, β = 117.03°, γ = 90.00°
Space group C2/m (No. 12)
Inequivalent atoms, fractional coordinates:
Ca 0.0864 0.0000 0.4066 x4
Pm 0.0994 0.5000 0.9187 x4
Sm 0.2424 0.5000 0.2360 x4

---

Repeat the first record exactly.
## CaPm2Sm (GGA-PBE)

Data for CaPm2Sm after structural relaxation.

* energy above the lowest structure with this stoichiometry: 0.094 eV/atom
* formation energy: 0.133 eV per atom
* final energy: -3.92 eV/atom
* density of states at the Fermi level: 5.3 states/eV/f.u.

a = 3.6113 Å, b = 3.6113 Å, c = 38.5940 Å
α = 90.00°, β = 90.00°, γ = 120.00°
Space group R-3m (No. 166, hexagonal axes)
Inequivalent atoms, fractional coordinates:
Ca 0.0000 0.0000 0.0000 x3
Pm 0.0000 0.0000 0.0910 x6
Sm 0.0000 0.0000 0.5000 x3